A geometry-optimized Tm2P2Rh5 structure. Source: the Alexandria database, functional PBE.

Cell lengths 4.0913, 4.0913, 8.6038 Å; angles 90.00, 90.00, 90.00 degrees
Space group P4/mmm (No. 123)
Asymmetric unit:
Tm 0.0000 0.0000 0.0000 [1 per cell]
Tm 0.0000 0.0000 0.5000 [1 per cell]
P 0.5000 0.5000 0.1370 [2 per cell]
Rh 0.0000 0.5000 0.2568 [4 per cell]
Rh 0.5000 0.5000 0.5000 [1 per cell]

Output
Density of states at the Fermi level: 4.421 states/eV/cell
Energy of formation from the pure elements: -1.0226 eV/atom
Density: 10.54 Mg/m³